1.
First-principles (PBE-GGA) data for a relaxed structure of LaInHg3, as listed in Alexandria.

Cell lengths 5.392, 5.392, 5.392 Å; angles 90.00, 90.00, 90.00 degrees
Element x y z (fractional)
Hg 0.000 0.000 0.500
Hg 0.500 0.000 0.000
Hg 0.000 0.500 0.000
In 0.000 0.000 0.000
La 0.500 0.500 0.500

Output
ΔE to the lowest computed polymorph   463.6 meV per atom
Energy   -1.617 eV/atom
Energy relative to the elements   47 kJ/mol of formula units

***

2.
First-principles (PBE-GGA) data for a relaxed structure of K2Pu2CoS6, as listed in Alexandria.

Cell lengths 6.535, 6.535, 7.866 Å; angles 98.41, 98.41, 118.91 degrees
Element x y z (fractional)
S 0.066 0.368 0.686
S 0.768 0.768 0.683
S 0.232 0.232 0.317
S 0.368 0.066 0.686
S 0.632 0.934 0.314
S 0.934 0.632 0.314
K 0.828 0.172 0.000
K 0.172 0.828 0.000
Co 0.000 0.000 0.500
Pu 0.333 0.667 0.500
Pu 0.667 0.333 0.500

Output
ΔE_f (raw)   -1153 meV per atom
Energy   -6.856 eV/atom